Entry w
Computed, not measured: crystalline ZrHg3Se at its relaxed geometry at the PBE-GGA level of DFT.

## Properties
Calculated density in Mg/m³: 8.6

abc: 5.2960 5.2960 5.2960
angles: 90.00 90.00 90.00
Each line ends with the local moment (μB).
Atoms (fractional coordinates):
1 Hg 0.0000 0.5000 0.0000  0.01
2 Hg 0.5000 0.0000 0.0000  0.01
3 Hg 0.0000 0.0000 0.5000  0.00
4 Se 0.0000 0.0000 0.0000  0.03
5 Zr 0.5000 0.5000 0.5000  1.29

***

Entry x
Computed, not measured: crystalline ZrHg3Se at its relaxed geometry at the PBE-GGA level of DFT.

## Properties
Calculated density in Mg/m³: 7.3

abc: 5.5889 5.5889 5.5889
angles: 90.00 90.00 90.00
Atoms (fractional coordinates):
1 Zr 0.0000 0.0000 0.0000
2 Hg 0.0000 0.5000 0.0000
3 Hg 0.0000 0.0000 0.5000
4 Hg 0.5000 0.0000 0.0000
5 Se 0.5000 0.5000 0.5000

***

Result of the stability comparison: entry w is the least stable of them.

***

Entry w
Computed, not measured: crystalline SiHg2 at its relaxed geometry at the PBE-GGA level of DFT.

## Properties
Calculated density in Mg/m³: 10.1

abc: 9.8338 9.8338 3.6576
angles: 90.00 90.00 156.36
Atoms (fractional coordinates):
1 Hg 0.7902 0.2098 0.7500
2 Hg 0.2098 0.7902 0.2500
3 Hg 0.5667 0.4333 0.2500
4 Hg 0.4333 0.5667 0.7500
5 Si 0.9081 0.0919 0.2500
6 Si 0.0919 0.9081 0.7500

***

Entry x
Computed, not measured: crystalline SiHg2 at its relaxed geometry at the PBE-GGA level of DFT.

## Properties
Calculated density in Mg/m³: 10.1

abc: 4.5254 4.5254 6.8718
angles: 90.00 90.00 90.00
Atoms (fractional coordinates):
1 Hg 0.5000 0.5000 0.0000
2 Hg 0.0000 0.0000 0.0000
3 Hg 0.5000 0.0000 0.3702
4 Hg 0.0000 0.5000 0.6298
5 Si 0.0000 0.5000 0.2431
6 Si 0.5000 0.0000 0.7569

***

Result of the stability comparison: entry w is the least stable of them.

***

Entry w
Computed, not measured: crystalline SiHg2 at its relaxed geometry at the PBE-GGA level of DFT.

## Properties
Calculated density in Mg/m³: 9.3

abc: 4.7644 3.8043 8.7565
angles: 90.00 105.37 90.00
Atoms (fractional coordinates):
1 Si 0.0395 0.2500 0.5824
2 Si 0.9605 0.7500 0.4176
3 Hg 0.2130 0.7500 0.9259
4 Hg 0.7870 0.2500 0.0741
5 Hg 0.5953 0.2500 0.6968
6 Hg 0.4047 0.7500 0.3032

***

Entry x
Computed, not measured: crystalline SiHg2 at its relaxed geometry at the PBE-GGA level of DFT.

## Properties
Calculated density in Mg/m³: 9.8

abc: 3.8160 5.1749 7.9643
angles: 70.45 79.39 90.16
Atoms (fractional coordinates):
1 Hg 0.6777 0.4032 0.6881
2 Hg 0.3223 0.5968 0.3119
3 Hg 0.1268 0.7968 0.9092
4 Hg 0.8732 0.2032 0.0908
5 Si 0.2892 0.0520 0.4008
6 Si 0.7108 0.9480 0.5992

***

Result of the stability comparison: entry x is the least stable of them.

***

Entry w
Computed, not measured: crystalline SiHg2 at its relaxed geometry at the PBE-GGA level of DFT.

## Properties
Calculated density in Mg/m³: 9.1

abc: 6.6585 6.6585 6.1039
angles: 90.00 90.00 120.00
Atoms (fractional coordinates):
1 Si 0.0000 0.0000 0.0000
2 Si 0.3333 0.6667 0.5000
3 Si 0.6667 0.3333 0.5000
4 Hg 0.3162 0.0000 0.2600
5 Hg 0.6838 0.6838 0.2600
6 Hg 0.3162 0.3162 0.7400
7 Hg 0.0000 0.3162 0.2600
8 Hg 0.6838 0.0000 0.7400
9 Hg 0.0000 0.6838 0.7400

***

Entry x
Computed, not measured: crystalline SiHg2 at its relaxed geometry at the PBE-GGA level of DFT.

## Properties
Calculated density in Mg/m³: 10.3

abc: 12.0717 12.0717 3.4016
angles: 90.00 90.00 163.83
Atoms (fractional coordinates):
1 Hg 0.6400 0.3600 0.7500
2 Hg 0.9472 0.0528 0.7500
3 Hg 0.3600 0.6400 0.2500
4 Hg 0.0528 0.9472 0.2500
5 Si 0.2362 0.7638 0.7500
6 Si 0.7638 0.2362 0.2500

***

Result of the stability comparison: entry w is the least stable of them.

***

Entry w
Computed, not measured: crystalline SiHg2 at its relaxed geometry at the PBE-GGA level of DFT.

## Properties
Calculated density in Mg/m³: 10.2

abc: 3.4203 3.4203 13.8005
angles: 90.00 90.00 120.00
Atoms (fractional coordinates):
1 Hg 0.6667 0.3333 0.1485
2 Hg 0.3333 0.6667 0.6485
3 Hg 0.3333 0.6667 0.8515
4 Hg 0.6667 0.3333 0.3515
5 Si 0.0000 0.0000 0.5000
6 Si 0.0000 0.0000 0.0000

***

Entry x
Computed, not measured: crystalline SiHg2 at its relaxed geometry at the PBE-GGA level of DFT.

## Properties
Calculated density in Mg/m³: 9.1

abc: 3.8652 3.8652 5.2360
angles: 90.00 90.00 90.00
Atoms (fractional coordinates):
1 Hg 0.0000 0.0000 0.5000
2 Hg 0.5000 0.5000 0.0000
3 Si 0.0000 0.0000 0.0000

***

Entry y
Computed, not measured: crystalline SiHg2 at its relaxed geometry at the PBE-GGA level of DFT.

## Properties
Calculated density in Mg/m³: 10.2

abc: 3.3917 3.3917 6.9918
angles: 90.00 90.00 120.00
Atoms (fractional coordinates):
1 Si 0.3333 0.6667 0.5000
2 Hg 0.0000 0.0000 0.2009
3 Hg 0.0000 0.0000 0.7991

***

Entry z
Computed, not measured: crystalline SiHg2 at its relaxed geometry at the PBE-GGA level of DFT.

## Properties
Calculated density in Mg/m³: 10.1

abc: 14.7770 14.2987 14.2987
angles: 166.34 168.63 17.63
Atoms (fractional coordinates):
1 Si 0.6165 0.6265 0.9900
2 Si 0.3835 0.3735 0.0100
3 Hg 0.5465 0.2049 0.3416
4 Hg 0.3872 0.9509 0.4363
5 Hg 0.4535 0.7951 0.6584
6 Hg 0.6128 0.0491 0.5637

***

Result of the stability comparison: entry y is the least stable of them.

***

Entry w
Computed, not measured: crystalline SiHg2 at its relaxed geometry at the PBE-GGA level of DFT.

## Properties
Calculated density in Mg/m³: 10.2

abc: 6.1183 6.1183 6.1183
angles: 35.82 35.82 35.82
Atoms (fractional coordinates):
1 Si 0.0000 0.0000 0.0000
2 Hg 0.5633 0.5633 0.5633
3 Hg 0.7700 0.7700 0.7700

***

Entry x
Computed, not measured: crystalline SiHg2 at its relaxed geometry at the PBE-GGA level of DFT.

## Properties
Calculated density in Mg/m³: 9.9

abc: 6.6087 6.6087 6.6087
angles: 90.00 90.00 90.00
Atoms (fractional coordinates):
1 Si 0.0000 0.5000 0.5000
2 Si 0.5000 0.5000 0.0000
3 Si 0.5000 0.0000 0.5000
4 Si 0.0000 0.0000 0.0000
5 Hg 0.8510 0.1490 0.3510
6 Hg 0.6490 0.6490 0.3510
7 Hg 0.3510 0.1490 0.1490
8 Hg 0.6490 0.8510 0.8510
9 Hg 0.8510 0.3510 0.8510
10 Hg 0.1490 0.8510 0.6490
11 Hg 0.3510 0.3510 0.6490
12 Hg 0.1490 0.6490 0.1490

***

Entry y
Computed, not measured: crystalline SiHg2 at its relaxed geometry at the PBE-GGA level of DFT.

## Properties
Calculated density in Mg/m³: 10.7

abc: 5.2456 5.2456 5.6021
angles: 90.00 90.00 120.00
Atoms (fractional coordinates):
1 Hg 0.6667 0.3333 0.7500
2 Hg 0.0000 0.0000 0.5000
3 Hg 0.3333 0.6667 0.2500
4 Hg 0.0000 0.0000 0.0000
5 Si 0.6667 0.3333 0.2500
6 Si 0.3333 0.6667 0.7500

***

Entry z
Computed, not measured: crystalline SiHg2 at its relaxed geometry at the PBE-GGA level of DFT.

## Properties
Calculated density in Mg/m³: 10.4

abc: 6.3704 6.3704 8.0438
angles: 68.20 68.20 27.16
Atoms (fractional coordinates):
1 Si 0.2146 0.2146 0.8570
2 Si 0.8928 0.8928 0.7503
3 Hg 0.6444 0.6444 0.5902
4 Hg 0.9683 0.9683 0.0321
5 Hg 0.4194 0.4194 0.4099
6 Hg 0.6937 0.6937 0.1938

***

Result of the stability comparison: entry y is the least stable of them.

***

Entry w
Computed, not measured: crystalline SiHg3 at its relaxed geometry at the PBE-GGA level of DFT.

## Properties
Calculated density in Mg/m³: 11.4

abc: 5.0665 5.0665 5.0665
angles: 60.00 60.00 60.00
Atoms (fractional coordinates):
1 Si 0.7500 0.7500 0.7500
2 Hg 0.2500 0.2500 0.2500
3 Hg 0.5000 0.5000 0.5000
4 Hg 0.0000 0.0000 0.0000

***

Entry x
Computed, not measured: crystalline SiHg3 at its relaxed geometry at the PBE-GGA level of DFT.

## Properties
Calculated density in Mg/m³: 10.9

abc: 3.4294 2.9899 9.5880
angles: 102.45 90.00 90.00
Atoms (fractional coordinates):
1 Hg 0.0000 0.4556 0.4808
2 Hg 0.0000 0.0444 0.0192
3 Hg 0.5000 0.7500 0.7500
4 Si 0.5000 0.2500 0.2500

***

Result of the stability comparison: entry w is the least stable of them.

***

Entry w
Computed, not measured: crystalline SiHg3 at its relaxed geometry at the PBE-GGA level of DFT.

## Properties
Calculated density in Mg/m³: 11.2

abc: 6.9400 6.9400 4.4923
angles: 90.00 90.00 120.00
Atoms (fractional coordinates):
1 Hg 0.8240 0.1760 0.7500
2 Hg 0.8240 0.6479 0.7500
3 Hg 0.1760 0.3521 0.2500
4 Hg 0.1760 0.8240 0.2500
5 Hg 0.6479 0.8240 0.2500
6 Hg 0.3521 0.1760 0.7500
7 Si 0.6667 0.3333 0.2500
8 Si 0.3333 0.6667 0.7500

***

Entry x
Computed, not measured: crystalline SiHg3 at its relaxed geometry at the PBE-GGA level of DFT.

## Properties
Calculated density in Mg/m³: 10.5

abc: 7.5263 7.5263 3.6953
angles: 90.00 90.00 108.01
Atoms (fractional coordinates):
1 Hg 0.8664 0.5709 0.2500
2 Hg 0.1336 0.4291 0.7500
3 Hg 0.5709 0.8664 0.7500
4 Hg 0.1133 0.8867 0.7500
5 Hg 0.4291 0.1336 0.2500
6 Hg 0.8867 0.1133 0.2500
7 Si 0.4347 0.5653 0.2500
8 Si 0.5653 0.4347 0.7500

***

Entry y
Computed, not measured: crystalline SiHg3 at its relaxed geometry at the PBE-GGA level of DFT.

## Properties
Calculated density in Mg/m³: 11.6

abc: 5.5131 5.5131 5.5131
angles: 132.08 132.08 70.10
Atoms (fractional coordinates):
1 Hg 0.5000 0.5000 0.0000
2 Hg 0.7500 0.2500 0.5000
3 Hg 0.2500 0.7500 0.5000
4 Si 0.0000 0.0000 0.0000

***

Entry z
Computed, not measured: crystalline SiHg3 at its relaxed geometry at the PBE-GGA level of DFT.

## Properties
Calculated density in Mg/m³: 10.5

abc: 8.2499 8.2499 6.7469
angles: 90.00 90.00 120.00
Atoms (fractional coordinates):
1 Hg 0.3003 0.1502 0.2500
2 Hg 0.8498 0.6997 0.2500
3 Hg 0.1502 0.3003 0.7500
4 Hg 0.1502 0.8498 0.7500
5 Hg 0.5000 0.0000 0.5000
6 Hg 0.0000 0.5000 0.5000
7 Hg 0.5000 0.0000 0.0000
8 Hg 0.0000 0.5000 0.0000
9 Hg 0.8498 0.1502 0.2500
10 Hg 0.6997 0.8498 0.7500
11 Hg 0.5000 0.5000 0.5000
12 Hg 0.5000 0.5000 0.0000
13 Si 0.3333 0.6667 0.2500
14 Si 0.0000 0.0000 0.5000
15 Si 0.0000 0.0000 0.0000
16 Si 0.6667 0.3333 0.7500

***

Result of the stability comparison: entry y is the least stable of them.